A plane-wave DFT calculation with PBE-GGA was carried out for an optimized crystal structure of Zn2ReHg.

```
data_Zn2ReHg
_chemical_formula_sum 'Zn4 Re2 Hg2'
_space_group_name_H-M_alt 'I m m m'
_space_group_IT_number 71
_space_group_name_Hall '-I 2 2'
_cell_length_a 2.849
_cell_length_b 4.925
_cell_length_c 9.542
_cell_angle_alpha 90.00
_cell_angle_beta 90.00
_cell_angle_gamma 90.00
loop_
_atom_site_label
_atom_site_fract_x
_atom_site_fract_y
_atom_site_fract_z
_atom_site_occupancy
Zn1 0.000 0.000 0.235 1
Re1 0.000 0.500 0.500 1
Hg1 0.000 0.500 0.000 1
```

Calculated values
The formation energy from the elements comes out at 481.9 meV per atom. Its spin magnetization is 0.00 μB/cell. Its electronic total energy is -3.34 eV per atom.